1.
La4CNCl2 PBE optimized geometry; electronic total energy = -6.46 eV/atom; ΔE_f (raw) = -10.73 eV per formula unit
1.0
-1.904 2.986 1.393
-5.459 -3.649 0.361
3.624 -0.801 6.672
C La Cl N
1 4 2 1
Direct
0.500 0.500 0.000
0.000 0.265 0.808
0.500 0.773 0.810
0.000 0.735 0.192
0.500 0.227 0.190
0.500 0.000 0.500
0.000 0.500 0.500
0.000 0.000 0.000

***

2.
La8C3NCl4 PBE optimized geometry; electronic total energy = -6.37 eV/atom; ΔE_f (raw) = -19.08 eV per formula unit
1.0
7.639 0.000 0.000
0.000 8.562 0.658
-3.820 -3.826 5.398
C La Cl N
3 8 4 1
Direct
0.500 0.500 0.000
0.000 0.500 0.500
0.500 0.500 0.500
0.771 0.309 0.038
0.267 0.309 0.038
0.771 0.309 0.542
0.733 0.691 0.962
0.731 0.694 0.463
0.229 0.691 0.962
0.269 0.306 0.537
0.229 0.691 0.458
0.500 0.000 0.000
0.000 0.000 0.500
0.500 0.000 0.500
0.000 0.000 0.000
0.000 0.500 0.000